i:
Computed, not measured: a relaxed MnFeHIr2 crystal at the PBE level of DFT.

Properties
The calculation puts the total magnetization at 0.5 μB/f.u. The calculation puts the density of states at the Fermi level at 1.072 states/eV/atom. The space-group type is P4/mmm. The crystal system is tetragonal.

Cell lengths 3.9052, 3.9052, 3.7014 Å; angles 90.00, 90.00, 90.00 degrees
Each line ends with the local moment (μB).
Fractional coordinates of all 5 atoms:
H  0.0000  0.0000  0.0000  0.01
Ir  0.0000  0.5000  0.0000  -0.21
Ir  0.5000  0.0000  0.0000  -0.21
Fe  0.0000  0.0000  0.5000  -2.36
Mn  0.5000  0.5000  0.5000  3.19

ii:
Computed, not measured: a relaxed MnFeHIr2 crystal at the PBE level of DFT.

Properties
The calculation puts the total magnetization at 2.9 μB/f.u. The calculation puts the density of states at the Fermi level at 1.184 states/eV/atom. The space-group type is P4/mmm. The crystal system is tetragonal.

Cell lengths 3.8210, 3.8210, 3.7372 Å; angles 90.00, 90.00, 90.00 degrees
Each line ends with the local moment (μB).
Fractional coordinates of all 5 atoms:
H  0.0000  0.0000  0.0000  -0.01
Ir  0.0000  0.5000  0.0000  -0.05
Ir  0.5000  0.0000  0.0000  -0.05
Fe  0.5000  0.5000  0.5000  0.64
Mn  0.0000  0.0000  0.5000  2.32

What should be chosen as the least stable of them? Choose ii.

i:
Computed, not measured: a relaxed FeMoHIr2 crystal at the PBE level of DFT.

Properties
The calculation puts the total magnetization at 0.1 μB/f.u. The calculation puts the density of states at the Fermi level at 0.688 states/eV/atom. The space-group type is P4/mmm. The crystal system is tetragonal.

Cell lengths 3.8726, 3.8726, 3.8392 Å; angles 90.00, 90.00, 90.00 degrees
Each line ends with the local moment (μB).
Fractional coordinates of all 5 atoms:
H  0.0000  0.0000  0.0000  0.00
Mo  0.5000  0.5000  0.5000  -0.06
Ir  0.0000  0.5000  0.0000  0.00
Ir  0.5000  0.0000  0.0000  0.00
Fe  0.0000  0.0000  0.5000  0.12

ii:
Computed, not measured: a relaxed FeMoHIr2 crystal at the PBE level of DFT.

Properties
The calculation puts the total magnetization at 0.0 μB/f.u. The calculation puts the density of states at the Fermi level at 1.697 states/eV/atom. The space-group type is P4/mmm. The crystal system is tetragonal.

Cell lengths 4.8029, 3.0968, 4.8029 Å; angles 90.00, 90.00, 90.00 degrees
Each line ends with the local moment (μB).
Fractional coordinates of all 5 atoms:
H  0.0000  0.5000  0.0000  0.00
Mo  0.0000  0.0000  0.0000  -0.01
Ir  0.0000  0.0000  0.5000  0.01
Ir  0.5000  0.0000  0.0000  -0.03
Fe  0.5000  0.5000  0.5000  0.09

What should be chosen as the least stable of them? Choose ii.

i:
Computed, not measured: a relaxed NbFeHIr2 crystal at the PBE level of DFT.

Properties
The calculation puts the total magnetization at 0.0 μB/f.u. The calculation puts the density of states at the Fermi level at 0.438 states/eV/atom. The space-group type is P4/mmm. The crystal system is tetragonal.

Cell lengths 3.9083, 3.9083, 3.8850 Å; angles 90.00, 90.00, 90.00 degrees
Fractional coordinates of all 5 atoms:
H  0.0000  0.0000  0.0000
Nb  0.5000  0.5000  0.5000
Ir  0.0000  0.5000  0.0000
Ir  0.5000  0.0000  0.0000
Fe  0.0000  0.0000  0.5000

ii:
Computed, not measured: a relaxed NbFeHIr2 crystal at the PBE level of DFT.

Properties
The calculation puts the total magnetization at 1.9 μB/f.u. The calculation puts the density of states at the Fermi level at 0.563 states/eV/atom. The space-group type is P4/mmm. The crystal system is tetragonal.

Cell lengths 3.9111, 3.9111, 4.0143 Å; angles 90.00, 90.00, 90.00 degrees
Each line ends with the local moment (μB).
Fractional coordinates of all 5 atoms:
H  0.0000  0.0000  0.0000  0.00
Nb  0.0000  0.0000  0.5000  -0.48
Ir  0.0000  0.5000  0.0000  0.05
Ir  0.5000  0.0000  0.0000  0.05
Fe  0.5000  0.5000  0.5000  2.31

What should be chosen as the least stable of them? Choose ii.

i:
Computed, not measured: a relaxed Fe2HIrOs crystal at the PBE level of DFT.

Properties
The calculation puts the total magnetization at 3.5 μB/f.u. The calculation puts the density of states at the Fermi level at 0.871 states/eV/atom. The space-group type is P4/mmm. The crystal system is tetragonal.

Cell lengths 3.7941, 3.7941, 3.7234 Å; angles 90.00, 90.00, 90.00 degrees
Each line ends with the local moment (μB).
Fractional coordinates of all 5 atoms:
H  0.0000  0.0000  0.0000  -0.01
Ir  0.5000  0.5000  0.5000  -0.05
Os  0.0000  0.0000  0.5000  -0.09
Fe  0.0000  0.5000  0.0000  1.84
Fe  0.5000  0.0000  0.0000  1.84

ii:
Computed, not measured: a relaxed Fe2HIrOs crystal at the PBE level of DFT.

Properties
The calculation puts the total magnetization at 1.1 μB/f.u. The calculation puts the density of states at the Fermi level at 1.061 states/eV/atom. The space-group type is P4/mmm. The crystal system is tetragonal.

Cell lengths 3.7502, 3.7502, 3.7142 Å; angles 90.00, 90.00, 90.00 degrees
Each line ends with the local moment (μB).
Fractional coordinates of all 5 atoms:
H  0.0000  0.0000  0.0000  -0.01
Ir  0.0000  0.0000  0.5000  -0.01
Os  0.5000  0.5000  0.5000  0.08
Fe  0.0000  0.5000  0.0000  0.54
Fe  0.5000  0.0000  0.0000  0.54

What should be chosen as the least stable of them? Choose ii.